VASP calculation (GGA-PBE) on InGeSb after structural relaxation.

Output
E above lowest polymorph	24	meV per atom
theoretical density	6.16	g/cm³
formation energy from raw total energies	9.1	kJ per mole of atoms

a = 6.219 Å, b = 4.109 Å, c = 7.082 Å
α = 90.00°, β = 112.83°, γ = 90.00°
Fractional coordinates of all 6 atoms:
In: 0.562 0.000 0.421
In: 0.562 0.500 0.921
Ge: 0.211 0.000 0.638
Ge: 0.211 0.500 0.138
Sb: 0.955 0.000 0.884
Sb: 0.955 0.500 0.384